1.
Below is a relaxed structure of HfBeCoSb, with properties calculated at the GGA-PBE level.

Summary:
Polymorph energy (0 for the lowest one), meV/atom: 239.9
E_tot, eV/atom: -5.955
Total moment, μB/f.u.: 0.0

Lattice parameters (Å, degrees): 4.5001 4.5001 4.5001 60.00 60.00 60.00
Positions (direct):
Hf  0.2500  0.2500  0.2500
Be  0.5000  0.5000  0.5000
Sb  0.0000  0.0000  0.0000
Co  0.7500  0.7500  0.7500



2.
Below is a relaxed structure of CsErNiTe3, with properties calculated at the GGA-PBE level.

Summary:
Polymorph energy (0 for the lowest one), meV/atom: 0.0
E_tot, eV/atom: -4.320
Total moment, μB/f.u.: 0.0

Lattice parameters (Å, degrees): 17.3369 4.2984 11.3781 90.00 90.00 90.00
Positions (direct):
Er  0.9768  0.7500  0.6540
Te  0.0582  0.7500  0.9001
Te  0.0949  0.2500  0.5876
Cs  0.7288  0.2500  0.4838
Ni  0.0181  0.7500  0.1140
Cs  0.7712  0.7500  0.9838
Er  0.4768  0.7500  0.8460
Te  0.3679  0.2500  0.7527
Er  0.5232  0.2500  0.1540
Te  0.5949  0.2500  0.9124
Er  0.0232  0.2500  0.3460
Te  0.4051  0.7500  0.0876
Te  0.9418  0.2500  0.0999
Te  0.6321  0.7500  0.2473
Ni  0.4819  0.2500  0.6140
Te  0.5582  0.7500  0.5999
Te  0.1321  0.7500  0.2527
Te  0.8679  0.2500  0.7473
Cs  0.2288  0.2500  0.0162
Te  0.9051  0.7500  0.4124
Cs  0.2712  0.7500  0.5162
Ni  0.9819  0.2500  0.8860
Ni  0.5181  0.7500  0.3860
Te  0.4418  0.2500  0.4001



3.
Below is a relaxed structure of Gd2Ge2O7, with properties calculated at the GGA-PBE level.

Summary:
E_tot, eV/atom: -7.434
Total moment, μB/f.u.: 0.0

Lattice parameters (Å, degrees): 6.8333 6.8333 12.4658 90.00 90.00 90.00
Positions (direct):
Ge  0.3984  0.3470  0.1296
O  0.5750  0.5312  0.1255
O  0.3158  0.8561  0.0447
O  0.3561  0.1842  0.7947
O  0.0750  0.9688  0.6245
O  0.3376  0.0625  0.4284
O  0.4250  0.4688  0.6255
O  0.5312  0.5750  0.8745
Gd  0.1254  0.6476  0.6355
O  0.4688  0.4250  0.3745
O  0.2991  0.2991  0.0000
O  0.7009  0.7009  0.5000
Gd  0.1476  0.3746  0.3855
O  0.0625  0.3376  0.5716
O  0.0312  0.9250  0.8755
Ge  0.6530  0.6016  0.3704
O  0.9375  0.6624  0.0716
Gd  0.3524  0.8746  0.8645
Gd  0.8524  0.6254  0.8855
O  0.1842  0.3561  0.2053
O  0.5625  0.1624  0.1784
Ge  0.8470  0.1016  0.8796
Ge  0.6016  0.6530  0.6296
O  0.7991  0.2009  0.7500
O  0.8376  0.4375  0.3216
O  0.1439  0.6842  0.4553
Ge  0.1530  0.8984  0.3796
O  0.6842  0.1439  0.5447
Ge  0.8984  0.1530  0.6204
O  0.9250  0.0312  0.1245
O  0.8158  0.6439  0.7053
O  0.6624  0.9375  0.9284
O  0.1624  0.5625  0.8216
Ge  0.1016  0.8470  0.1204
O  0.4375  0.8376  0.6784
Gd  0.6254  0.8524  0.1145
O  0.6439  0.8158  0.2947
Ge  0.3470  0.3984  0.8704
Gd  0.8746  0.3524  0.1355
O  0.2009  0.7991  0.2500
O  0.9688  0.0750  0.3755
O  0.8561  0.3158  0.9553
Gd  0.6476  0.1254  0.3645
Gd  0.3746  0.1476  0.6145



4.
Below is a relaxed structure of LaHoNO, with properties calculated at the GGA-PBE level.

Summary:
Polymorph energy (0 for the lowest one), meV/atom: 117.2
E_tot, eV/atom: -7.750
Total moment, μB/f.u.: 0.0

Lattice parameters (Å, degrees): 4.7757 4.7757 6.0524 90.00 90.00 90.00
Positions (direct):
Ho  0.5000  0.0000  0.9674
O  0.0000  0.0000  0.0000
N  0.0000  0.5000  0.3835
O  0.5000  0.5000  0.0000
La  0.5000  0.5000  0.5000
Ho  0.0000  0.5000  0.0326
La  0.0000  0.0000  0.5000
N  0.5000  0.0000  0.6165



5.
Below is a relaxed structure of LiTlTcNi, with properties calculated at the GGA-PBE level.

Summary:
Polymorph energy (0 for the lowest one), meV/atom: 198.0
E_tot, eV/atom: -4.538
Total moment, μB/f.u.: 2.2

Lattice parameters (Å, degrees): 4.4361 4.4361 4.4361 60.00 60.00 60.00
Positions (direct):
Ni  0.7500  0.7500  0.7500
Tc  0.2500  0.2500  0.2500
Tl  0.0000  0.0000  0.0000
Li  0.5000  0.5000  0.5000



6.
Below is a relaxed structure of HfZrGe2As2, with properties calculated at the GGA-PBE level.

Summary:
E_tot, eV/atom: -6.868
Total moment, μB/f.u.: 0.0

Lattice parameters (Å, degrees): 3.6881 3.6881 8.3460 90.00 90.00 90.00
Positions (direct):
As  0.0000  0.0000  0.6132
As  0.5000  0.5000  0.3831
Hf  0.0000  0.0000  0.2697
Ge  0.0000  0.5000  0.0014
Ge  0.5000  0.0000  0.0014
Zr  0.5000  0.5000  0.7312



7.
Below is a relaxed structure of Dy2IBrN, with properties calculated at the GGA-PBE level.

Summary:
E_tot, eV/atom: -5.696
Total moment, μB/f.u.: 0.0

Lattice parameters (Å, degrees): 3.7175 3.7175 10.3258 90.00 90.00 120.00
Positions (direct):
N  0.6667  0.3333  0.5063
Br  0.0000  0.0000  0.8149
Dy  0.0000  0.0000  0.3808
Dy  0.3333  0.6667  0.6278
I  0.3333  0.6667  0.1702



8.
Below is a relaxed structure of SrCdPO, with properties calculated at the GGA-PBE level.

Summary:
E_tot, eV/atom: -4.208

Lattice parameters (Å, degrees): 3.5030 6.8427 7.3888 90.00 90.00 90.00
Positions (direct):
P  0.0000  0.7775  0.3123
Sr  0.5000  0.5518  0.5969
Sr  0.5000  0.4482  0.0969
Cd  0.0000  0.8904  0.9647
O  0.5000  0.7084  0.8801
Cd  0.0000  0.1096  0.4647
P  0.0000  0.2225  0.8123
O  0.5000  0.2916  0.3801



9.
Below is a relaxed structure of PrErIn2Ni4, with properties calculated at the GGA-PBE level.

Summary:
E_tot, eV/atom: -5.067
Total moment, μB/f.u.: 0.0

Lattice parameters (Å, degrees): 4.0588 5.1599 7.1020 90.00 90.00 90.00
Positions (direct):
Ni  0.0000  0.0000  0.8964
In  0.5000  0.5000  0.3445
In  0.5000  0.0000  0.6483
Ni  0.5000  0.7553  0.0047
Ni  0.5000  0.2447  0.0047
Er  0.0000  0.0000  0.2657
Pr  0.0000  0.5000  0.7232
Ni  0.0000  0.5000  0.1124



10.
Below is a relaxed structure of LiHg3GeSe4, with properties calculated at the GGA-PBE level.

Summary:
Polymorph energy (0 for the lowest one), meV/atom: 25.8
E_tot, eV/atom: -2.558

Lattice parameters (Å, degrees): 6.4454 6.4454 6.4454 90.00 90.00 90.00
Positions (direct):
Hg  0.5000  0.5000  0.0000
Hg  0.5000  0.0000  0.5000
Ge  0.5000  0.5000  0.5000
Se  0.7510  0.7510  0.2490
Se  0.7510  0.2490  0.7510
Hg  0.0000  0.5000  0.5000
Se  0.2490  0.7510  0.7510
Li  0.0000  0.0000  0.0000
Se  0.2490  0.2490  0.2490



11.
Below is a relaxed structure of HoPaTl, with properties calculated at the GGA-PBE level.

Summary:
Polymorph energy (0 for the lowest one), meV/atom: 0.0
E_tot, eV/atom: -4.934
Total moment, μB/f.u.: 2.0

Lattice parameters (Å, degrees): 5.1434 5.1434 5.1434 60.00 60.00 60.00
Positions (direct):
Tl  0.0000  0.0000  0.0000
Pa  0.7500  0.7500  0.7500
Ho  0.2500  0.2500  0.2500



12.
Below is a relaxed structure of Pr2Ge2O7, with properties calculated at the GGA-PBE level.

Summary:
E_tot, eV/atom: -7.379
Total moment, μB/f.u.: 0.0

Lattice parameters (Å, degrees): 7.0199 7.0199 12.8010 90.00 90.00 90.00
Positions (direct):
O  0.6617  0.9421  0.9270
O  0.1617  0.5579  0.8230
O  0.5736  0.5212  0.1194
O  0.7024  0.7024  0.5000
O  0.3383  0.0579  0.4270
Pr  0.1205  0.6538  0.6346
O  0.2024  0.7976  0.2500
O  0.1412  0.6961  0.4527
Pr  0.1538  0.3795  0.3846
O  0.4788  0.4264  0.3806
Pr  0.8462  0.6205  0.8846
O  0.0736  0.9788  0.6306
O  0.5579  0.1617  0.1770
Ge  0.5986  0.6582  0.6261
Pr  0.3795  0.1538  0.6154
Pr  0.6538  0.1205  0.3654
O  0.8039  0.6412  0.7027
O  0.1961  0.3588  0.2027
O  0.0212  0.9264  0.8694
O  0.7976  0.2024  0.7500
Ge  0.0986  0.8418  0.1239
O  0.4264  0.4788  0.6194
Ge  0.9014  0.1582  0.6239
Ge  0.3418  0.4014  0.8739
O  0.3039  0.8588  0.0473
Ge  0.1582  0.9014  0.3761
O  0.2976  0.2976  0.0000
Pr  0.8795  0.3462  0.1346
Pr  0.6205  0.8462  0.1154
Pr  0.3462  0.8795  0.8654
O  0.9421  0.6617  0.0730
O  0.5212  0.5736  0.8806
O  0.4421  0.8383  0.6770
Ge  0.6582  0.5986  0.3739
O  0.6961  0.1412  0.5473
O  0.9264  0.0212  0.1306
O  0.8588  0.3039  0.9527
Ge  0.4014  0.3418  0.1261
O  0.6412  0.8039  0.2973
O  0.9788  0.0736  0.3694
O  0.3588  0.1961  0.7973
O  0.0579  0.3383  0.5730
Ge  0.8418  0.0986  0.8761
O  0.8383  0.4421  0.3230